Zr2TcMo after structural relaxation, computed with PBE-GGA.

Computed properties:
E_tot: -9.7613 eV/atom

The structure in CIF format:
```
data_Zr2TcMo
_chemical_formula_sum 'Zr4 Tc2 Mo2'
_symmetry_space_group_name_H-M 'I m m 2'
_symmetry_Int_Tables_number 44
_symmetry_space_group_name_Hall 'I 2 -2'
_cell_length_a 3.289
_cell_length_b 4.608
_cell_length_c 9.715
_cell_angle_alpha 90.00
_cell_angle_beta 90.00
_cell_angle_gamma 90.00
loop_
_atom_site_label
_atom_site_fract_x
_atom_site_fract_y
_atom_site_fract_z
Zr1 0.000 0.000 0.000
Zr2 0.000 0.500 0.231
Tc1 0.000 0.500 0.750
Mo1 0.000 0.000 0.473
```

ThSbAu after structural relaxation, computed with PBE-GGA.

Computed properties:
E_tot: -5.5541 eV/atom
Energy relative to the elements, uncorrected: -0.6142 eV/atom

The structure in CIF format:
```
data_ThSbAu
_chemical_formula_sum 'Th2 Sb2 Au2'
_symmetry_space_group_name_H-M 'I 4 m m'
_symmetry_Int_Tables_number 107
_symmetry_space_group_name_Hall 'I 4 -2'
_cell_length_a 4.101
_cell_length_b 4.101
_cell_length_c 9.439
_cell_angle_alpha 90.00
_cell_angle_beta 90.00
_cell_angle_gamma 90.00
loop_
_atom_site_label
_atom_site_fract_x
_atom_site_fract_y
_atom_site_fract_z
Th1 0.000 0.000 0.000
Sb1 0.000 0.000 0.658
Au1 0.000 0.000 0.332
```

Mg2TcAu after structural relaxation, computed with PBE-GGA.

Computed properties:
Polymorph energy (0 for the lowest one): 0.135 eV per atom
E_tot: -4.1364 eV/atom

The structure in CIF format:
```
data_Mg2TcAu
_chemical_formula_sum 'Mg2 Tc1 Au1'
_symmetry_space_group_name_H-M 'P m m 2'
_symmetry_Int_Tables_number 25
_symmetry_space_group_name_Hall 'P 2 -2'
_cell_length_a 2.821
_cell_length_b 4.315
_cell_length_c 5.640
_cell_angle_alpha 90.00
_cell_angle_beta 90.00
_cell_angle_gamma 90.00
loop_
_atom_site_label
_atom_site_fract_x
_atom_site_fract_y
_atom_site_fract_z
Mg1 0.000 0.000 0.000
Mg2 0.500 0.500 0.288
Tc1 0.000 0.000 0.503
Au1 0.500 0.500 0.773
```

SiTcOs2 after structural relaxation, computed with PBE-GGA.

Computed properties:
E_tot: -9.4421 eV/atom
Energy relative to the elements, uncorrected: 0.1200 eV/atom

The structure in CIF format:
```
data_SiTcOs2
_chemical_formula_sum 'Si2 Tc2 Os4'
_symmetry_space_group_name_H-M 'C m m m'
_symmetry_Int_Tables_number 65
_symmetry_space_group_name_Hall '-C 2 2'
_cell_length_a 5.483
_cell_length_b 7.321
_cell_length_c 2.787
_cell_angle_alpha 90.00
_cell_angle_beta 90.00
_cell_angle_gamma 90.00
loop_
_atom_site_label
_atom_site_fract_x
_atom_site_fract_y
_atom_site_fract_z
Si1 0.000 0.000 0.000
Tc1 0.000 0.500 0.000
Os1 0.250 0.250 0.500
```

NaLaTcAg2 after structural relaxation, computed with PBE-GGA.

Computed properties:
E_tot: -3.6278 eV/atom

The structure in CIF format:
```
data_NaLaTcAg2
_chemical_formula_sum 'Na1 La1 Tc1 Ag2'
_symmetry_space_group_name_H-M 'P 4/m m m'
_symmetry_Int_Tables_number 123
_symmetry_space_group_name_Hall '-P 4 2'
_cell_length_a 5.149
_cell_length_b 5.149
_cell_length_c 5.061
_cell_angle_alpha 90.00
_cell_angle_beta 90.00
_cell_angle_gamma 90.00
loop_
_atom_site_label
_atom_site_fract_x
_atom_site_fract_y
_atom_site_fract_z
Na1 0.000 0.000 0.000
La1 0.500 0.500 0.000
Tc1 0.000 0.000 0.500
Ag1 0.000 0.500 0.500
```

CsTl2I2 after structural relaxation, computed with PBE-GGA.

Computed properties:
Polymorph energy (0 for the lowest one): 0.178 eV per atom
E_tot: -2.3277 eV/atom
Energy relative to the elements, uncorrected: -0.5905 eV/atom

The structure in CIF format:
```
data_CsTl2I2
_chemical_formula_sum 'Cs2 Tl4 I4'
_symmetry_space_group_name_H-M 'P 4/m b m'
_symmetry_Int_Tables_number 127
_symmetry_space_group_name_Hall '-P 4 2ab'
_cell_length_a 9.763
_cell_length_b 9.763
_cell_length_c 4.676
_cell_angle_alpha 90.00
_cell_angle_beta 90.00
_cell_angle_gamma 90.00
loop_
_atom_site_label
_atom_site_fract_x
_atom_site_fract_y
_atom_site_fract_z
Cs1 0.000 0.000 0.000
Tl1 0.114 0.386 0.000
I1 0.174 0.674 0.500
```

AsPIrBr2 after structural relaxation, computed with PBE-GGA.

Computed properties:
Polymorph energy (0 for the lowest one): 0.000 eV per atom
E_tot: -3.5808 eV/atom
Energy relative to the elements, uncorrected: 0.8725 eV/atom

The structure in CIF format:
```
data_AsPIrBr2
_chemical_formula_sum 'As1 P1 Ir1 Br2'
_symmetry_space_group_name_H-M 'P 4/m m m'
_symmetry_Int_Tables_number 123
_symmetry_space_group_name_Hall '-P 4 2'
_cell_length_a 5.094
_cell_length_b 5.094
_cell_length_c 4.726
_cell_angle_alpha 90.00
_cell_angle_beta 90.00
_cell_angle_gamma 90.00
loop_
_atom_site_label
_atom_site_fract_x
_atom_site_fract_y
_atom_site_fract_z
As1 0.000 0.000 0.000
P1 0.500 0.500 0.000
Ir1 0.000 0.000 0.500
Br1 0.000 0.500 0.500
```

LaMn3Si2 after structural relaxation, computed with PBE-GGA.

Computed properties:
E_tot: -7.6249 eV/atom
Energy relative to the elements, uncorrected: -0.4112 eV/atom

The structure in CIF format:
```
data_LaMn3Si2
_chemical_formula_sum 'La4 Mn12 Si8'
_symmetry_space_group_name_H-M 'C 1 2/m 1'
_symmetry_Int_Tables_number 12
_symmetry_space_group_name_Hall '-C 2y'
_cell_length_a 15.089
_cell_length_b 3.896
_cell_length_c 7.300
_cell_angle_alpha 90.00
_cell_angle_beta 114.31
_cell_angle_gamma 90.00
loop_
_atom_site_label
_atom_site_fract_x
_atom_site_fract_y
_atom_site_fract_z
La1 0.147 0.000 0.061
Mn1 0.042 0.000 0.394
Mn2 0.079 0.500 0.623
Mn3 0.186 0.500 0.462
Si1 0.021 0.500 0.192
Si2 0.193 0.000 0.674
```

La4Sn2Rh after structural relaxation, computed with PBE-GGA.

Computed properties:
Polymorph energy (0 for the lowest one): 0.145 eV per atom
E_tot: -5.5494 eV/atom

The structure in CIF format:
```
data_La4Sn2Rh
_chemical_formula_sum 'La8 Sn4 Rh2'
_symmetry_space_group_name_H-M 'C m m m'
_symmetry_Int_Tables_number 65
_symmetry_space_group_name_Hall '-C 2 2'
_cell_length_a 8.171
_cell_length_b 10.505
_cell_length_c 5.180
_cell_angle_alpha 90.00
_cell_angle_beta 90.00
_cell_angle_gamma 90.00
loop_
_atom_site_label
_atom_site_fract_x
_atom_site_fract_y
_atom_site_fract_z
La1 0.221 0.000 0.000
La2 0.250 0.250 0.500
Sn1 0.000 0.276 0.000
Rh1 0.000 0.000 0.500
```

TlAgSe2O8 after structural relaxation, computed with PBE-GGA.

Computed properties:
E_tot: -4.7858 eV/atom
Energy relative to the elements, uncorrected: -0.4648 eV/atom

The structure in CIF format:
```
data_TlAgSe2O8
_chemical_formula_sum 'Tl3 Ag3 Se6 O24'
_symmetry_space_group_name_H-M 'R -3'
_symmetry_Int_Tables_number 148
_symmetry_space_group_name_Hall '-R 3'
_cell_length_a 5.1527
_cell_length_b 5.1527
_cell_length_c 26.3893
_cell_angle_alpha 90.00
_cell_angle_beta 90.00
_cell_angle_gamma 120.00
loop_
_atom_site_label
_atom_site_fract_x
_atom_site_fract_y
_atom_site_fract_z
Tl1 0.0000 0.0000 0.0000
Ag1 0.0000 0.0000 0.5000
Se1 0.0000 0.0000 0.2375
O1 0.0000 0.0000 0.3004
O2 0.0039 0.6894 0.2177
```

Zn2WBr after structural relaxation, computed with PBE-GGA.

Computed properties:
Polymorph energy (0 for the lowest one): 0.668 eV per atom
E_tot: -3.2370 eV/atom
Energy relative to the elements, uncorrected: 1.0564 eV/atom

The structure in CIF format:
```
data_Zn2WBr
_chemical_formula_sum 'Zn8 W4 Br4'
_symmetry_space_group_name_H-M 'F -4 3 m'
_symmetry_Int_Tables_number 216
_symmetry_space_group_name_Hall 'F -4 2 3'
_cell_length_a 6.501
_cell_length_b 6.501
_cell_length_c 6.501
_cell_angle_alpha 90.00
_cell_angle_beta 90.00
_cell_angle_gamma 90.00
loop_
_atom_site_label
_atom_site_fract_x
_atom_site_fract_y
_atom_site_fract_z
Zn1 0.000 0.000 0.000
Zn2 0.250 0.250 0.250
W1 0.000 0.000 0.500
Br1 0.250 0.250 0.750
```

BeAlN2F after structural relaxation, computed with PBE-GGA.

Computed properties:
Polymorph energy (0 for the lowest one): 0.000 eV per atom
E_tot: -5.2611 eV/atom
Energy relative to the elements, uncorrected: -0.0629 eV/atom

The structure in CIF format:
```
data_BeAlN2F
_chemical_formula_sum 'Be1 Al1 N2 F1'
_symmetry_space_group_name_H-M 'P 4/m m m'
_symmetry_Int_Tables_number 123
_symmetry_space_group_name_Hall '-P 4 2'
_cell_length_a 3.508
_cell_length_b 3.508
_cell_length_c 3.425
_cell_angle_alpha 90.00
_cell_angle_beta 90.00
_cell_angle_gamma 90.00
loop_
_atom_site_label
_atom_site_fract_x
_atom_site_fract_y
_atom_site_fract_z
Be1 0.000 0.000 0.000
Al1 0.500 0.500 0.500
N1 0.000 0.500 0.000
F1 0.000 0.000 0.500
```